## AcAlCrO6 (GGA+U)

Data for crystalline AcAlCrO6 at its relaxed geometry.

Unit cell a=5.009 b=5.009 c=5.317 alpha=90.00 beta=90.00 gamma=120.00
Fractional positions:
Ac  0.000  0.000  0.000
Al  0.333  0.667  0.500
Cr  0.667  0.333  0.500
O  0.395  0.008  0.700
O  0.395  0.388  0.300
O  0.612  0.008  0.300
O  0.612  0.605  0.700
O  0.992  0.388  0.700
O  0.992  0.605  0.300

Calculated values
**Magnetic moment**: 0.00 μB/atom
**Raw total energy**: -7.259 eV/atom